Record 1
# AgAu2Se2

AgAu2Se2 after structural relaxation (PBE-GGA, Alexandria).

Cell: 4.559 4.559 7.228 Å, 90.00 90.00 90.00°
Fractional coordinates of all 5 atoms:
Se 0.500 0.000 0.193
Se 0.000 0.500 0.807
Au 0.500 0.500 0.688
Au 0.500 0.500 0.312
Ag 0.000 0.000 0.000

## Properties
Density = 7.293 Mg/m³
Space group = P-4m2 (115)

=====

Record 2
# AgAuSe2

AgAuSe2 after structural relaxation (PBE-GGA, Alexandria).

Cell: 11.727 11.727 11.727 Å, 14.07 14.07 14.07°
Fractional coordinates of all 4 atoms:
Se 0.990 0.990 0.990
Se 0.510 0.510 0.510
Au 0.750 0.750 0.750
Ag 0.250 0.250 0.250

## Properties
Density = 9.263 Mg/m³
Space group = R-3m (166)

=====

Formation energy without anion corrections
In order: 0.69 1.22
Unit: eV per formula unit